1.
Entry from Alexandria: an optimized crystal structure of BaGeN2O (GGA-PBE).

```
data_BaGeN2O
_chemical_formula_sum 'Ba1 Ge1 N2 O1'
_cell_length_a 4.680
_cell_length_b 4.680
_cell_length_c 4.618
_cell_angle_alpha 90.00
_cell_angle_beta 90.00
_cell_angle_gamma 90.00
_space_group_name_H-M_alt 'P 4/m m m'
_space_group_IT_number 123
_space_group_name_Hall '-P 4 2'
loop_
_atom_site_label
_atom_site_fract_x
_atom_site_fract_y
_atom_site_fract_z
_atom_site_occupancy
Ba1 0.000 0.000 0.000 1
Ge1 0.500 0.500 0.500 1
N1 0.000 0.500 0.000 1
O1 0.000 0.000 0.500 1
```

Results
The raw formation energy is 1.576 eV/atom.

---

2.
Entry from Alexandria: an optimized crystal structure of LaPr5In3 (GGA-PBE).

```
data_LaPr5In3
_chemical_formula_sum 'La2 Pr10 In6'
_cell_length_a 9.7188
_cell_length_b 9.7188
_cell_length_c 7.0138
_cell_angle_alpha 90.00
_cell_angle_beta 90.00
_cell_angle_gamma 120.00
_space_group_name_H-M_alt 'P 63/m c m'
_space_group_IT_number 193
_space_group_name_Hall '-P 6c 2'
loop_
_atom_site_label
_atom_site_fract_x
_atom_site_fract_y
_atom_site_fract_z
_atom_site_occupancy
La1 0.0000 0.0000 0.0000 1
Pr1 0.0000 0.3320 0.2500 1
Pr2 0.3333 0.6667 0.0000 1
In1 0.0000 0.3355 0.7500 1
```

Results
As for the raw total energy: -4.46 eV per atom.